# 1
Below is an optimized crystal structure of La2CdBr, with properties calculated at the GGA-PBE level.

POSCAR file:
```
La2CdBr
1.0
10.856 0.019 0.011
10.152 3.846 0.011
10.152 1.867 3.362
La Cd Br
2 1 1
Direct
0.002 0.002 0.002
0.242 0.242 0.242
0.749 0.749 0.749
0.508 0.508 0.508
```

Summary:
- Fermi-level density of states: 0.82 states/eV per atom
- M_tot: 0.550 μB/f.u.
- Crystal system: trigonal
- E_form (uncorrected): -2.12 eV per formula unit
- Energy above the most stable polymorph in this dataset: 230 meV per atom

---

# 2
Below is an optimized crystal structure of LaCd2Br6, with properties calculated at the GGA-PBE level.

POSCAR file:
```
LaCd2Br6
1.0
4.596 0.000 0.000
-2.298 8.144 1.247
0.000 -0.737 9.938
Br La Cd
6 1 2
Direct
0.615 0.230 0.515
0.032 0.063 0.207
0.385 0.770 0.485
0.968 0.937 0.793
0.784 0.568 0.160
0.216 0.432 0.840
0.000 0.000 0.500
0.194 0.387 0.136
0.806 0.613 0.864
```

Summary:
- Fermi-level density of states: 0.45 states/eV per atom
- M_tot: 0.187 μB/f.u.
- Crystal system: monoclinic
- E_form (uncorrected): -10.46 eV per formula unit

---

# 3
Below is an optimized crystal structure of LaCd3Br, with properties calculated at the GGA-PBE level.

POSCAR file:
```
LaCd3Br
1.0
5.568 0.000 0.000
0.000 5.568 0.000
0.000 0.000 5.568
Cd Br La
3 1 1
Direct
0.000 0.500 0.000
0.500 0.000 0.000
0.000 0.000 0.500
0.000 0.000 0.000
0.500 0.500 0.500
```

Summary:
- Fermi-level density of states: 1.46 states/eV per atom
- M_tot: 0.000 μB/f.u.
- Crystal system: cubic
- E_form (uncorrected): 1.63 eV per formula unit
- Energy above the most stable polymorph in this dataset: 0 meV per atom